(1)
NbOsRuSeS | GGA-PBE | relaxed

Computed properties:
Calculated density, Mg/m³: 9.5
Energy relative to the elements, uncorrected, eV per atom: -0.2037
N(E_F), states/eV/cell: 3.776
Space group: No. 44
DFT total energy, eV per formula unit: -39.2

abc: 6.374 6.374 6.374
angles: 148.71 139.80 51.80
Fractional positions:
Nb (0.000, 0.000, 0.000)
Os (0.363, 0.863, 0.500)
Ru (0.824, 0.324, 0.500)
Se (0.540, 0.540, 0.000)
S (0.232, 0.232, 0.000)

=====

(2)
NbOsRuSeS | GGA-PBE | relaxed

Computed properties:
Calculated density, Mg/m³: 10.5
Energy relative to the elements, uncorrected, eV per atom: -0.0890
N(E_F), states/eV/cell: 1.972
Space group: No. 8
DFT total energy, eV per formula unit: -38.6

abc: 5.029 5.029 6.764
angles: 124.52 124.52 34.78
Fractional positions:
Nb (0.000, 0.000, 0.000)
Os (0.368, 0.368, 0.588)
Ru (0.176, 0.176, 0.772)
Se (0.779, 0.779, 0.151)
S (0.641, 0.641, 0.468)